[1]
A geometry-optimized RbCr2S4 structure, computed with PBE.

Output
**N(E_F)**: 0.4682 states/eV per atom
**Crystal system**: triclinic
**Polymorph energy (0 for the lowest one)**: 1.71 eV/f.u.
**Energy relative to the elements, uncorrected**: -0.59 eV/atom

a b c (Å): 6.5241 8.4496 13.7296
angles (deg): 81.90 80.38 89.37
Positions (direct):
Rb 0.1971 0.2452 0.4708
Rb 0.2664 0.1614 0.9912
Rb 0.7336 0.8386 0.0088
Rb 0.8029 0.7548 0.5292
Cr 0.2054 0.4557 0.7274
Cr 0.2155 0.6276 0.9994
Cr 0.2212 0.9411 0.7277
Cr 0.2681 0.7927 0.2661
Cr 0.7319 0.2073 0.7339
Cr 0.7788 0.0589 0.2723
Cr 0.7845 0.3724 0.0006
Cr 0.7946 0.5443 0.2726
S 0.0750 0.4827 0.8900
S 0.0873 0.5782 0.3370
S 0.0946 0.0021 0.3163
S 0.2196 0.8594 0.8848
S 0.2480 0.8121 0.1101
S 0.3105 0.7122 0.6635
S 0.3882 0.2085 0.7026
S 0.4484 0.4487 0.0755
S 0.5516 0.5513 0.9245
S 0.6118 0.7915 0.2974
S 0.6895 0.2878 0.3365
S 0.7520 0.1879 0.8899
S 0.7804 0.1406 0.1152
S 0.9054 0.9979 0.6837
S 0.9127 0.4218 0.6630
S 0.9250 0.5173 0.1100

---

[2]
A geometry-optimized SrAcCuPb structure, computed with PBE.

Output
**N(E_F)**: 0.3234 states/eV per atom
**Crystal system**: cubic
**Raw total energy**: -3.6973 eV/atom

a b c (Å): 7.9998 7.9998 7.9998
angles (deg): 90.00 90.00 90.00
Positions (direct):
Sr 0.0000 0.0000 0.0000
Sr 0.0000 0.5000 0.5000
Sr 0.5000 0.0000 0.5000
Sr 0.5000 0.5000 0.0000
Ac 0.0000 0.0000 0.5000
Ac 0.0000 0.5000 0.0000
Ac 0.5000 0.0000 0.0000
Ac 0.5000 0.5000 0.5000
Cu 0.2500 0.2500 0.2500
Cu 0.2500 0.7500 0.7500
Cu 0.7500 0.2500 0.7500
Cu 0.7500 0.7500 0.2500
Pb 0.2500 0.2500 0.7500
Pb 0.2500 0.7500 0.2500
Pb 0.7500 0.2500 0.2500
Pb 0.7500 0.7500 0.7500

---

[3]
A geometry-optimized NaCd2B2O6 structure, computed with PBE.

Output
**N(E_F)**: 0.1570 states/eV per atom
**Crystal system**: triclinic
**Energy relative to the elements, uncorrected**: -1.69 eV/atom

a b c (Å): 5.2870 5.2879 6.1534
angles (deg): 69.77 69.85 62.53
Positions (direct):
Na 0.0000 0.0000 0.0000
Cd 0.3217 0.2592 0.2843
Cd 0.6783 0.7408 0.7157
B 0.3159 0.4106 0.7568
B 0.6841 0.5894 0.2432
O 0.0975 0.6807 0.7536
O 0.3185 0.1974 0.6724
O 0.4487 0.6675 0.1445
O 0.5513 0.3325 0.8555
O 0.6815 0.8026 0.3276
O 0.9025 0.3193 0.2464

---

[4]
A geometry-optimized MgNbZn structure, computed with PBE.

Output
**N(E_F)**: 0.5440 states/eV per atom
**Crystal system**: tetragonal
**Polymorph energy (0 for the lowest one)**: 0.00 eV/f.u.

a b c (Å): 2.9644 2.9644 11.9770
angles (deg): 90.00 90.00 90.00
Positions (direct):
Mg 0.0000 0.0000 0.0000
Mg 0.5000 0.5000 0.5000
Nb 0.0000 0.0000 0.6833
Nb 0.5000 0.5000 0.1833
Zn 0.0000 0.0000 0.3383
Zn 0.5000 0.5000 0.8383

---

[5]
A geometry-optimized HgBrCl2 structure, computed with PBE.

Output
**N(E_F)**: 1.4128 states/eV per atom
**Crystal system**: trigonal
**Polymorph energy (0 for the lowest one)**: 0.37 eV/f.u.
**Energy relative to the elements, uncorrected**: -0.16 eV/atom

a b c (Å): 3.8671 3.8671 30.5716
angles (deg): 90.00 90.00 120.00
Positions (direct):
Hg 0.0000 0.0000 0.0000
Hg 0.3333 0.6667 0.6667
Hg 0.6667 0.3333 0.3333
Br 0.0000 0.0000 0.5000
Br 0.3333 0.6667 0.1667
Br 0.6667 0.3333 0.8333
Cl 0.0000 0.0000 0.2832
Cl 0.0000 0.0000 0.7168
Cl 0.3333 0.6667 0.3834
Cl 0.3333 0.6667 0.9499
Cl 0.6667 0.3333 0.0501
Cl 0.6667 0.3333 0.6166

---

[6]
A geometry-optimized CsHg4F6 structure, computed with PBE.

Output
**N(E_F)**: 0.3279 states/eV per atom
**Crystal system**: tetragonal
**Energy relative to the elements, uncorrected**: -1.35 eV/atom

a b c (Å): 7.2513 7.2513 7.2513
angles (deg): 126.74 126.74 78.68
Positions (direct):
Cs 0.0000 0.0000 0.0000
Hg 0.2359 0.2359 0.7096
Hg 0.4737 0.7641 0.0000
Hg 0.5263 0.5263 0.2904
Hg 0.7641 0.4737 0.0000
F 0.0000 0.5000 0.5000
F 0.0650 0.3897 0.0000
F 0.3897 0.0650 0.0000
F 0.5000 0.0000 0.5000
F 0.6103 0.6103 0.6753
F 0.9350 0.9350 0.3247

---

[7]
A geometry-optimized CsSnSe2 structure, computed with PBE.

Output
**N(E_F)**: 0.9627 states/eV per atom
**Crystal system**: trigonal
**Energy relative to the elements, uncorrected**: -0.68 eV/atom

a b c (Å): 4.2584 4.2584 8.4510
angles (deg): 90.00 90.00 120.00
Positions (direct):
Cs 0.0000 0.0000 0.0000
Sn 0.0000 0.0000 0.5000
Se 0.3333 0.6667 0.6844
Se 0.6667 0.3333 0.3156

---

[8]
A geometry-optimized ZrGaOs structure, computed with PBE.

Output
**N(E_F)**: 0.8676 states/eV per atom
**Crystal system**: trigonal
**Raw total energy**: -7.9336 eV/atom

a b c (Å): 4.3934 4.3934 3.1402
angles (deg): 90.00 90.00 120.00
Positions (direct):
Zr 0.0000 0.0000 0.0000
Ga 0.6667 0.3333 0.5224
Os 0.3333 0.6667 0.5732

---

[9]
A geometry-optimized Tl3In structure, computed with PBE.

Output
**N(E_F)**: 0.2802 states/eV per atom
**Crystal system**: orthorhombic
**Raw total energy**: -2.4499 eV/atom

a b c (Å): 3.9360 5.5034 11.0785
angles (deg): 90.00 90.00 90.00
Positions (direct):
Tl 0.0000 0.0000 0.0000
Tl 0.0000 0.5000 0.2587
Tl 0.0000 0.5000 0.7413
Tl 0.5000 0.0000 0.2587
Tl 0.5000 0.0000 0.7413
Tl 0.5000 0.5000 0.0000
In 0.0000 0.0000 0.5000
In 0.5000 0.5000 0.5000

---

[10]
A geometry-optimized BeFeRu2 structure, computed with PBE.

Output
**N(E_F)**: 1.0234 states/eV per atom
**Crystal system**: cubic
**Raw total energy**: -7.4998 eV/atom

a b c (Å): 5.8403 5.8403 5.8403
angles (deg): 90.00 90.00 90.00
Positions (direct):
Be 0.0000 0.0000 0.0000
Be 0.0000 0.5000 0.5000
Be 0.5000 0.0000 0.5000
Be 0.5000 0.5000 0.0000
Fe 0.2500 0.2500 0.2500
Fe 0.2500 0.7500 0.7500
Fe 0.7500 0.2500 0.7500
Fe 0.7500 0.7500 0.2500
Ru 0.0000 0.0000 0.5000
Ru 0.0000 0.5000 0.0000
Ru 0.2500 0.2500 0.7500
Ru 0.2500 0.7500 0.2500
Ru 0.5000 0.0000 0.0000
Ru 0.5000 0.5000 0.5000
Ru 0.7500 0.2500 0.2500
Ru 0.7500 0.7500 0.7500

---

[11]
A geometry-optimized K2AcDyO4 structure, computed with PBE.

Output
**N(E_F)**: 0.0000 states/eV per atom
**Crystal system**: monoclinic
**Energy relative to the elements, uncorrected**: -2.63 eV/atom

a b c (Å): 6.3915 3.6690 6.6621
angles (deg): 90.00 108.67 90.00
Positions (direct):
K 0.0000 0.0000 0.0000
K 0.5000 0.5000 0.0000
Ac 0.0000 0.5000 0.5000
Dy 0.5000 0.0000 0.5000
O 0.2529 0.0000 0.6916
O 0.2864 0.5000 0.3123
O 0.7136 0.5000 0.6877
O 0.7471 0.0000 0.3084

---

[12]
A geometry-optimized Ti5Nb2Fe2Pd structure, computed with PBE.

Output
**N(E_F)**: 1.0312 states/eV per atom
**Crystal system**: tetragonal
**Raw total energy**: -8.3605 eV/atom

a b c (Å): 10.3437 10.3437 2.9870
angles (deg): 90.00 90.00 90.00
Positions (direct):
Ti 0.0000 0.5000 0.0000
Ti 0.0570 0.2089 0.0000
Ti 0.2089 0.9430 0.0000
Ti 0.2911 0.4430 0.0000
Ti 0.4430 0.7089 0.0000
Ti 0.5000 0.0000 0.0000
Ti 0.5570 0.2911 0.0000
Ti 0.7089 0.5570 0.0000
Ti 0.7911 0.0570 0.0000
Ti 0.9430 0.7911 0.0000
Nb 0.1751 0.6751 0.5000
Nb 0.3249 0.1751 0.5000
Nb 0.6751 0.8249 0.5000
Nb 0.8249 0.3249 0.5000
Fe 0.1317 0.3683 0.5000
Fe 0.3683 0.8683 0.5000
Fe 0.6317 0.1317 0.5000
Fe 0.8683 0.6317 0.5000
Pd 0.0000 0.0000 0.5000
Pd 0.5000 0.5000 0.5000

---

[13]
A geometry-optimized SnMoIr2 structure, computed with PBE.

Output
**N(E_F)**: 0.8125 states/eV per atom
**Crystal system**: tetragonal
**Raw total energy**: -7.5024 eV/atom

a b c (Å): 5.7301 5.7301 11.8582
angles (deg): 90.00 90.00 90.00
Positions (direct):
Sn 0.0000 0.0000 0.0000
Sn 0.0000 0.5000 0.2500
Sn 0.5000 0.0000 0.7500
Sn 0.5000 0.5000 0.5000
Mo 0.0000 0.0000 0.5000
Mo 0.0000 0.5000 0.7500
Mo 0.5000 0.0000 0.2500
Mo 0.5000 0.5000 0.0000
Ir 0.2220 0.2500 0.6250
Ir 0.2500 0.7220 0.8750
Ir 0.2500 0.7780 0.3750
Ir 0.2780 0.2500 0.1250
Ir 0.7220 0.7500 0.1250
Ir 0.7500 0.2220 0.3750
Ir 0.7500 0.2780 0.8750
Ir 0.7780 0.7500 0.6250

---

[14]
A geometry-optimized Ca2ThAl9 structure, computed with PBE.

Output
**N(E_F)**: 0.6435 states/eV per atom
**Crystal system**: trigonal
**Raw total energy**: -4.0521 eV/atom

a b c (Å): 9.4524 9.4524 9.4524
angles (deg): 34.70 34.70 34.70
Positions (direct):
Ca 0.1415 0.1415 0.1415
Ca 0.8585 0.8585 0.8585
Th 0.0000 0.0000 0.0000
Al 0.0761 0.5839 0.5839
Al 0.3350 0.3350 0.3350
Al 0.4161 0.4161 0.9239
Al 0.4161 0.9239 0.4161
Al 0.5000 0.5000 0.5000
Al 0.5839 0.0761 0.5839
Al 0.5839 0.5839 0.0761
Al 0.6650 0.6650 0.6650
Al 0.9239 0.4161 0.4161

---

[15]
A geometry-optimized NbRhIF2 structure, computed with PBE.

Output
**N(E_F)**: 0.6159 states/eV per atom
**Crystal system**: tetragonal
**Energy relative to the elements, uncorrected**: -1.23 eV/atom

a b c (Å): 4.0969 4.0969 5.2617
angles (deg): 90.00 90.00 90.00
Positions (direct):
Nb 0.0000 0.0000 0.0000
Rh 0.0000 0.0000 0.5000
I 0.5000 0.5000 0.5000
F 0.0000 0.5000 0.0000
F 0.5000 0.0000 0.0000

---

[16]
A geometry-optimized MgRh structure, computed with PBE.

Output
**N(E_F)**: 0.9982 states/eV per atom
**Crystal system**: hexagonal
**Raw total energy**: -4.7935 eV/atom

a b c (Å): 2.9398 2.9398 8.3259
angles (deg): 90.00 90.00 120.00
Positions (direct):
Mg 0.0000 0.0000 0.0000
Mg 0.0000 0.0000 0.5000
Rh 0.3333 0.6667 0.2500
Rh 0.6667 0.3333 0.7500

---

[17]
A geometry-optimized Tl3GeI structure, computed with PBE.

Output
**N(E_F)**: 0.4481 states/eV per atom
**Crystal system**: cubic
**Polymorph energy (0 for the lowest one)**: 2.86 eV/f.u.
**Energy relative to the elements, uncorrected**: 0.57 eV/atom

a b c (Å): 6.3985 6.3985 6.3985
angles (deg): 90.00 90.00 90.00
Positions (direct):
Tl 0.0000 0.0000 0.5000
Tl 0.0000 0.5000 0.0000
Tl 0.5000 0.0000 0.0000
Ge 0.5000 0.5000 0.5000
I 0.0000 0.0000 0.0000

---

[18]
A geometry-optimized V2ReNi structure, computed with PBE.

Output
**N(E_F)**: 1.3790 states/eV per atom
**Crystal system**: tetragonal
**Raw total energy**: -9.2964 eV/atom

a b c (Å): 3.0568 3.0568 5.6529
angles (deg): 90.00 90.00 90.00
Positions (direct):
V 0.0000 0.0000 0.2429
V 0.0000 0.0000 0.7571
Re 0.5000 0.5000 0.5000
Ni 0.5000 0.5000 0.0000

---

[19]
A geometry-optimized La2AsHPd6 structure, computed with PBE.

Output
**N(E_F)**: 0.5741 states/eV per atom
**Crystal system**: monoclinic
**Raw total energy**: -5.6113 eV/atom

a b c (Å): 5.8038 5.8038 7.0102
angles (deg): 114.78 114.78 60.06
Positions (direct):
La 0.2277 0.2277 0.1846
La 0.7723 0.7723 0.8154
As 0.5000 0.5000 0.0000
H 0.0000 0.0000 0.5000
Pd 0.2279 0.2279 0.6866
Pd 0.2282 0.7318 0.6870
Pd 0.2682 0.7718 0.3130
Pd 0.7318 0.2282 0.6870
Pd 0.7718 0.2682 0.3130
Pd 0.7721 0.7721 0.3134